(1)
Below is crystalline PmPr7Sc2 at its relaxed geometry, with properties calculated at the PBE level.

Its crystal system is orthorhombic. The density of states at the Fermi level is 1.452 states/eV/atom. The energy relative to the elements is 0.582 eV/atom.

The space group is Cmmm (No. 65) and the conventional cell measures 9.0805, 15.6375 and 5.6684 Å, with angles of 90.00, 90.00 and 90.00 degrees. The asymmetric unit holds Pm at (0.0000, 0.0000, 0.0000), Pr at (0.0000, 0.2514, 0.0000), Pr at (0.0000, 0.5000, 0.5000), Pr at (0.1832, 0.1221, 0.5000) and Sc at (0.0000, 0.2983, 0.5000).

***

(2)
Below is crystalline PuNbPt2 at its relaxed geometry, with properties calculated at the PBE level.

Its crystal system is cubic. As for the energy relative to the lowest polymorph listed for this composition: 221 meV/atom. The density of states at the Fermi level is 3.079 states/eV/atom. The energy relative to the elements is -0.362 eV/atom.

The space group is Fm-3m (No. 225) and the conventional cell measures 6.7596, 6.7596 and 6.7596 Å, with angles of 90.00, 90.00 and 90.00 degrees. The asymmetric unit holds Pu at (0.0000, 0.0000, 0.0000), Nb at (0.0000, 0.0000, 0.5000) and Pt at (0.2500, 0.2500, 0.2500).

***

(3)
Below is crystalline KBa2CuF8 at its relaxed geometry, with properties calculated at the PBE level.

The formation energy (no corrections) comes out at -2826 meV per atom. Its crystal system is triclinic.

The space group is P-1 (No. 2) and the conventional cell measures 4.4624, 5.9056 and 8.7641 Å, with angles of 83.28, 85.18 and 80.33 degrees. The asymmetric unit holds K at (0.0000, 0.0000, 0.0000), Ba at (0.4965, 0.4937, 0.7531), Cu at (0.0000, 0.0000, 0.5000), F at (0.0444, 0.2861, 0.7359), F at (0.0956, 0.1762, 0.3273), F at (0.3553, 0.8046, 0.4845) and F at (0.4591, 0.2640, 0.0248).

***

(4)
Below is crystalline Sm2AgSn3 at its relaxed geometry, with properties calculated at the PBE level.

Its crystal system is orthorhombic. The density of states at the Fermi level is 0.600 states/eV/atom. The energy relative to the elements is -0.294 eV/atom.

The space group is Cmcm (No. 63) and the conventional cell measures 13.8719, 8.9198 and 5.6138 Å, with angles of 90.00, 90.00 and 90.00 degrees. The asymmetric unit holds Sm at (0.1401, 0.1834, 0.2500), Ag at (0.0000, 0.4299, 0.7500), Sn at (0.0000, 0.1032, 0.7500) and Sn at (0.1831, 0.5000, 0.0000).

***

(5)
Below is crystalline Ce6TlSb5 at its relaxed geometry, with properties calculated at the PBE level.

The formation energy (no corrections) comes out at -854 meV per atom. Its crystal system is monoclinic. The density of states at the Fermi level is 3.185 states/eV/atom.

The space group is C2/m (No. 12) and the conventional cell measures 7.7973, 13.5101 and 7.7822 Å, with angles of 90.00, 109.54 and 90.00 degrees. The asymmetric unit holds Ce at (0.2461, 0.0000, 0.2522), Ce at (0.2473, 0.1690, 0.7486), Tl at (0.0000, 0.5000, 0.0000), Sb at (0.0000, 0.0000, 0.5000), Sb at (0.0000, 0.1666, 0.0000) and Sb at (0.0000, 0.3338, 0.5000).

***

(6)
Below is crystalline LaAlNiN at its relaxed geometry, with properties calculated at the PBE level.

The formation energy (no corrections) comes out at -913 meV per atom. Its crystal system is tetragonal. The density of states at the Fermi level is 0.454 states/eV/atom.

The space group is P4/nmm (No. 129, origin choice 2) and the conventional cell measures 3.8175, 3.8175 and 8.9317 Å, with angles of 90.00, 90.00 and 90.00 degrees. The asymmetric unit holds La at (0.2500, 0.2500, 0.1453), Al at (0.2500, 0.2500, 0.6591), Ni at (0.2500, 0.7500, 0.5000) and N at (0.2500, 0.2500, 0.8717).

***

(7)
Below is crystalline SmTm2Ni at its relaxed geometry, with properties calculated at the PBE level.

Its crystal system is trigonal. As for the energy relative to the lowest polymorph listed for this composition: 85 meV/atom. The density of states at the Fermi level is 1.077 states/eV/atom. The energy relative to the elements is -0.133 eV/atom.

The space group is R3m (No. 160, hexagonal axes) and the conventional cell measures 3.7859, 3.7859 and 26.4476 Å, with angles of 90.00, 90.00 and 120.00 degrees. The asymmetric unit holds Sm at (0.0000, 0.0000, 0.0000), Tm at (0.0000, 0.0000, 0.5552), Tm at (0.0000, 0.0000, 0.7733) and Ni at (0.0000, 0.0000, 0.1635).

***

(8)
Below is crystalline Na6Cd5In at its relaxed geometry, with properties calculated at the PBE level.

Its crystal system is monoclinic. The density of states at the Fermi level is 0.333 states/eV/atom. The energy relative to the elements is -0.074 eV/atom.

The space group is C2/m (No. 12) and the conventional cell measures 10.6019, 14.1695 and 4.6613 Å, with angles of 90.00, 115.90 and 90.00 degrees. The asymmetric unit holds Na at (0.2459, 0.0000, 0.2456), Na at (0.2477, 0.1665, 0.7475), Cd at (0.0000, 0.0000, 0.5000), Cd at (0.0000, 0.1706, 0.0000), Cd at (0.0000, 0.3353, 0.5000) and In at (0.0000, 0.5000, 0.0000).

***

(9)
Below is crystalline Sr4TlRe at its relaxed geometry, with properties calculated at the PBE level.

Its crystal system is cubic. The density of states at the Fermi level is 1.200 states/eV/atom. The energy relative to the elements is 1.178 eV/atom.

The space group is F-43m (No. 216) and the conventional cell measures 9.5292, 9.5292 and 9.5292 Å, with angles of 90.00, 90.00 and 90.00 degrees. The asymmetric unit holds Sr at (0.1239, 0.1239, 0.3761), Tl at (0.0000, 0.0000, 0.0000) and Re at (0.2500, 0.2500, 0.7500).

***

(10)
Below is crystalline Ac2PuGa2Pd7 at its relaxed geometry, with properties calculated at the PBE level.

Its crystal system is monoclinic. The density of states at the Fermi level is 1.715 states/eV/atom. The energy relative to the elements is -0.708 eV/atom.

The space group is C2/m (No. 12) and the conventional cell measures 6.0242, 5.9558 and 14.2102 Å, with angles of 90.00, 97.79 and 90.00 degrees. The asymmetric unit holds Ac at (0.1024, 0.0000, 0.3545), Pu at (0.0000, 0.0000, 0.0000), Ga at (0.0753, 0.5000, 0.2446), Pd at (0.0000, 0.5000, 0.0000), Pd at (0.1186, 0.5000, 0.4248) and Pd at (0.2045, 0.2497, 0.8526).

***

(11)
Below is crystalline TaCuSi at its relaxed geometry, with properties calculated at the PBE level.

The formation energy (no corrections) comes out at -195 meV per atom. Its crystal system is orthorhombic. The density of states at the Fermi level is 0.200 states/eV/atom.

The space group is Ima2 (No. 46) and the conventional cell measures 3.7505, 7.4489 and 6.1441 Å, with angles of 90.00, 90.00 and 90.00 degrees. The asymmetric unit holds Ta at (0.2500, 0.1657, 0.0000), Cu at (0.2500, 0.5941, 0.8222) and Si at (0.2500, 0.6146, 0.1984).

***

(12)
Below is crystalline SmInAu5 at its relaxed geometry, with properties calculated at the PBE level.

Its crystal system is orthorhombic. The density of states at the Fermi level is 0.434 states/eV/atom. The energy relative to the elements is -0.417 eV/atom.

The space group is Pnma (No. 62) and the conventional cell measures 9.0637, 5.7379 and 11.3003 Å, with angles of 90.00, 90.00 and 90.00 degrees. The asymmetric unit holds Sm at (0.2499, 0.2500, 0.0496), In at (0.1529, 0.2500, 0.3457), Au at (0.0613, 0.5096, 0.8015), Au at (0.0764, 0.2500, 0.5760), Au at (0.0986, 0.7500, 0.0213) and Au at (0.1811, 0.7500, 0.2794).